1.
## LiLaGdOs (PBE)

Data for a geometry-optimized LiLaGdOs structure.

Properties
- Space-group type: F-43m (216)
- ρ: 9.048 g cm⁻³
- Energy of formation from the pure elements: -110 meV per atom

Cell lengths 5.040, 5.040, 5.040 Å; angles 60.00, 60.00, 60.00 degrees
Fractional coordinates of all 4 atoms:
Li (0.000, 0.000, 0.000)
La (0.250, 0.250, 0.250)
Gd (0.750, 0.750, 0.750)
Os (0.500, 0.500, 0.500)


2.
## LiLaGdPd (PBE)

Data for a geometry-optimized LiLaGdPd structure.

Properties
- Space-group type: F-43m (216)
- ρ: 6.920 g cm⁻³
- Energy of formation from the pure elements: -343 meV per atom

Cell lengths 5.180, 5.180, 5.180 Å; angles 60.00, 60.00, 60.00 degrees
Fractional coordinates of all 4 atoms:
Li (0.000, 0.000, 0.000)
La (0.250, 0.250, 0.250)
Gd (0.750, 0.750, 0.750)
Pd (0.500, 0.500, 0.500)


3.
## LiLaPmGd (PBE)

Data for a geometry-optimized LiLaPmGd structure.

Properties
- Space-group type: F-43m (216)
- ρ: 5.902 g cm⁻³
- Energy of formation from the pure elements: 162 meV per atom

Cell lengths 5.628, 5.628, 5.628 Å; angles 60.00, 60.00, 60.00 degrees
Fractional coordinates of all 4 atoms:
Li (0.000, 0.000, 0.000)
La (0.750, 0.750, 0.750)
Pm (0.250, 0.250, 0.250)
Gd (0.500, 0.500, 0.500)


4.
## LiLaPrGd (PBE)

Data for a geometry-optimized LiLaPrGd structure.

Properties
- Space-group type: F-43m (216)
- ρ: 5.760 g cm⁻³
- Energy of formation from the pure elements: 153 meV per atom

Cell lengths 5.657, 5.657, 5.657 Å; angles 60.00, 60.00, 60.00 degrees
Fractional coordinates of all 4 atoms:
Li (0.000, 0.000, 0.000)
La (0.250, 0.250, 0.250)
Pr (0.750, 0.750, 0.750)
Gd (0.500, 0.500, 0.500)


5.
## LiLaGdRe (PBE)

Data for a geometry-optimized LiLaGdRe structure.

Properties
- Space-group type: F-43m (216)
- ρ: 8.969 g cm⁻³
- Energy of formation from the pure elements: 137 meV per atom

Cell lengths 5.041, 5.041, 5.041 Å; angles 60.00, 60.00, 60.00 degrees
Fractional coordinates of all 4 atoms:
Li (0.000, 0.000, 0.000)
La (0.250, 0.250, 0.250)
Gd (0.750, 0.750, 0.750)
Re (0.500, 0.500, 0.500)


6.
## LiLaGdRh (PBE)

Data for a geometry-optimized LiLaGdRh structure.

Properties
- Space-group type: F-43m (216)
- ρ: 7.235 g cm⁻³
- Energy of formation from the pure elements: -373 meV per atom

Cell lengths 5.089, 5.089, 5.089 Å; angles 60.00, 60.00, 60.00 degrees
Fractional coordinates of all 4 atoms:
Li (0.000, 0.000, 0.000)
La (0.750, 0.750, 0.750)
Gd (0.250, 0.250, 0.250)
Rh (0.500, 0.500, 0.500)


| no. | M_tot (μB/f.u.) |
| --- | --- |
| 1 | 7.04 |
| 2 | 7.15 |
| 3 | 7.45 |
| 4 | 7.46 |
| 5 | 7.15 |
| 6 | 7.13 |